Record 1
Density functional theory data (PBE) for TmU3N4 after structural relaxation.

Cell lengths 4.8273, 4.8273, 5.9321 Å; angles 114.01, 114.01, 90.00 degrees
Last column: magnetic moment on the atom in μB.
Atoms (fractional coordinates):
N 0.2488 0.2488 0.4976  -0.05
N 0.0000 0.5000 0.0000  -0.04
N 0.7512 0.7512 0.5024  -0.05
N 0.5000 0.0000 0.0000  -0.04
U 0.5000 0.5000 0.0000  0.87
U 0.2500 0.7500 0.5000  0.86
U 0.7500 0.2500 0.5000  0.86
Tm 0.0000 0.0000 0.0000  0.00

Properties
magnetization: 2.60 Bohr magnetons per cell
formation energy (no corrections): -1.419 eV/atom



Record 2
Density functional theory data (PBE) for Tm2UN4 after structural relaxation.

Cell lengths 3.5027, 5.7290, 9.6452 Å; angles 90.00, 90.00, 90.00 degrees
Atoms (fractional coordinates):
Tm 0.5000 0.5627 0.3227
Tm 0.5000 0.9373 0.8227
Tm 0.5000 0.4373 0.6773
Tm 0.5000 0.0627 0.1773
N 0.0000 0.3508 0.1979
N 0.5000 0.2651 0.9580
N 0.5000 0.2349 0.4580
N 0.0000 0.6492 0.8021
N 0.5000 0.7349 0.0420
N 0.5000 0.7651 0.5420
N 0.0000 0.8508 0.3021
N 0.0000 0.1492 0.6979
U 0.0000 0.5000 0.0000
U 0.0000 0.0000 0.5000

Properties
magnetization: 0.00 Bohr magnetons per cell
formation energy (no corrections): -1.639 eV/atom



Record 3
Density functional theory data (PBE) for TmUN2 after structural relaxation.

Cell lengths 3.3366, 3.3366, 6.2496 Å; angles 74.52, 74.52, 60.00 degrees
Last column: magnetic moment on the atom in μB.
Atoms (fractional coordinates):
U 0.4982 0.4982 0.5055  1.72
N 0.2502 0.2502 0.2495  -0.05
N 0.0802 0.0802 0.7595  -0.05
Tm 0.6715 0.6715 0.9854  0.08

Properties
magnetization: 1.85 Bohr magnetons per cell
formation energy (no corrections): -1.292 eV/atom



Record 4
Density functional theory data (PBE) for TmU4N5 after structural relaxation.

Cell lengths 4.8347, 5.9400, 5.9400 Å; angles 80.47, 65.99, 65.99 degrees
Last column: magnetic moment on the atom in μB.
Atoms (fractional coordinates):
Tm 0.0010 0.0000 0.0000  0.01
U 0.3998 0.4014 0.8011  1.16
U 0.6023 0.5986 0.1989  1.16
U 0.2009 0.1989 0.4014  1.16
U 0.8012 0.8011 0.5986  1.16
N 0.7031 0.1977 0.3983  -0.06
N 0.1013 0.6017 0.1977  -0.06
N 0.2990 0.8023 0.6017  -0.06
N 0.9008 0.3983 0.8023  -0.06
N 0.5010 0.0000 0.0000  -0.05

Properties
magnetization: 4.73 Bohr magnetons per cell
formation energy (no corrections): -1.395 eV/atom



Record 5
Density functional theory data (PBE) for TmUN2 after structural relaxation.

Cell lengths 3.4059, 3.4059, 11.3242 Å; angles 90.00, 90.00, 120.00 degrees
Last column: magnetic moment on the atom in μB.
Atoms (fractional coordinates):
N 0.6667 0.3333 0.6192  -0.04
N 0.3333 0.6667 0.1192  -0.04
N 0.3333 0.6667 0.3808  -0.04
N 0.6667 0.3333 0.8808  -0.04
U 0.0000 0.0000 0.5000  1.29
U 0.0000 0.0000 0.0000  1.29
Tm 0.6667 0.3333 0.2500  -0.02
Tm 0.3333 0.6667 0.7500  -0.02

Properties
magnetization: 2.57 Bohr magnetons per cell
formation energy (no corrections): -1.498 eV/atom



Record 6
Density functional theory data (PBE) for YTm2UN4 after structural relaxation.

Cell lengths 4.8543, 4.8543, 5.9212 Å; angles 114.20, 114.20, 90.00 degrees
Last column: magnetic moment on the atom in μB.
Atoms (fractional coordinates):
N 0.7529 0.7529 0.5058  -0.05
N 0.2471 0.2471 0.4942  -0.05
N 0.9858 0.4858 0.9717  -0.03
N 0.5142 0.0142 0.0283  -0.03
Y 0.5000 0.5000 0.0000  0.03
U 0.7500 0.2500 0.5000  1.26
Tm 0.2500 0.7500 0.5000  0.09
Tm 0.0000 0.0000 0.0000  0.03

Properties
magnetization: 1.40 Bohr magnetons per cell
formation energy (no corrections): -1.658 eV/atom